Entry 1:
Density functional theory data (PBE) for SrDyAlO4 after structural relaxation.

Uncorrected energy ... -7.37 eV per atom
Size of the total moment ... 0.00 μB per formula unit

Cell lengths 5.6174, 5.7287, 6.8204 Å; angles 90.00, 107.98, 90.00 degrees
With the nearest neighbours (Å) after each atom.
Fractional positions:
Sr1 0.7106 0.7500 0.9318  2 O 2.40-2.44
Sr2 0.2894 0.2500 0.0682  2 O 2.40-2.44
O1 0.9618 0.4825 0.7133  1 Al 1.79
O2 0.0382 0.5175 0.2867  1 Al 1.79
O3 0.4644 0.7500 0.5755  1 Al 1.76
Al1 0.2597 0.7500 0.3220  4 O 1.76-1.79
Dy1 0.8050 0.7500 0.4622  6 O 2.26-2.43
O4 0.9618 0.0175 0.7133  1 Al 1.79
O5 0.0382 0.9825 0.2867  1 Al 1.79
O6 0.5419 0.2500 0.8340  1 Al 1.76
O7 0.5356 0.2500 0.4245  1 Al 1.76
Dy2 0.1950 0.2500 0.5378  6 O 2.26-2.43
O8 0.4581 0.7500 0.1660  1 Al 1.76
Al2 0.7403 0.2500 0.6780  4 O 1.76-1.79

Entry 2:
Density functional theory data (PBE) for Y2Mg after structural relaxation.

Formation energy from the elements ... 4 meV per atom
Uncorrected energy ... -4.84 eV per atom
Size of the total moment ... 0.00 μB per formula unit

Cell lengths 10.0567, 10.0567, 10.0567 Å; angles 60.00, 60.00, 60.00 degrees
With the nearest neighbours (Å) after each atom.
Fractional positions:
Y1 0.9395 0.8105 0.3105  4 Mg 3.30-3.68, 2 Y 3.69
Mg1 0.6344 0.7885 0.2885  6 Y 3.11-3.30
Mg2 0.7115 0.2115 0.7115  6 Y 3.11-3.30
Y2 0.5000 0.5000 0.5000  6 Mg 3.11
Mg3 0.3656 0.2115 0.7115  6 Y 3.11-3.30
Y3 0.9395 0.4395 0.3105  4 Mg 3.30-3.68, 2 Y 3.69
Y4 0.3105 0.4395 0.3105  4 Mg 3.30-3.68, 2 Y 3.69
Mg4 0.7115 0.8656 0.7115  6 Y 3.11-3.30
Mg5 0.2885 0.7885 0.2885  6 Y 3.11-3.30
Y5 0.3105 0.8105 0.9395  4 Mg 3.30-3.68, 2 Y 3.69
Y6 0.6895 0.5605 0.6895  4 Mg 3.30-3.68, 2 Y 3.69
Y7 0.5000 0.0000 0.5000  6 Mg 3.11
Y8 0.0605 0.1895 0.0605  4 Mg 3.30-3.68, 2 Y 3.69
Y9 0.5000 0.0000 0.0000  6 Mg 3.11
Y10 0.6895 0.5605 0.0605  4 Mg 3.30-3.68, 2 Y 3.69
Y11 0.0605 0.1895 0.6895  4 Mg 3.30-3.68, 2 Y 3.69
Mg6 0.2885 0.7885 0.6344  6 Y 3.11-3.30
Y12 0.3105 0.4395 0.9395  4 Mg 3.30-3.68, 2 Y 3.69
Y13 0.6895 0.1895 0.0605  4 Mg 3.30-3.68, 2 Y 3.69
Y14 0.0605 0.5605 0.6895  4 Mg 3.30-3.68, 2 Y 3.69
Y15 0.0000 0.0000 0.5000  6 Mg 3.11
Mg7 0.2885 0.1344 0.2885  6 Y 3.11-3.30
Y16 0.9395 0.8105 0.9395  4 Mg 3.30-3.68, 2 Y 3.69
Mg8 0.7115 0.2115 0.3656  6 Y 3.11-3.30

Entry 3:
Density functional theory data (PBE) for CdCu after structural relaxation.

Formation energy from the elements ... 93 meV per atom
Uncorrected energy ... -2.41 eV per atom
Size of the total moment ... 0.00 μB per formula unit

Cell lengths 7.8483, 7.8483, 4.5210 Å; angles 90.00, 90.00, 90.00 degrees
With the nearest neighbours (Å) after each atom.
Fractional positions:
Cu1 0.1588 0.8412 0.0000  2 Cu 2.49, 6 Cd 2.71-2.77
Cu2 0.1588 0.1588 0.0000  2 Cu 2.49, 6 Cd 2.71-2.77
Cu3 0.8412 0.1588 0.0000  2 Cu 2.49, 6 Cd 2.71-2.77
Cd1 0.7129 0.0000 0.5000  6 Cu 2.71-2.77
Cu4 0.3412 0.3412 0.5000  2 Cu 2.49, 6 Cd 2.71-2.77
Cu5 0.3412 0.6588 0.5000  2 Cu 2.49, 6 Cd 2.71-2.77
Cd2 0.7871 0.5000 0.0000  6 Cu 2.71-2.77
Cd3 0.2129 0.5000 0.0000  6 Cu 2.71-2.77
Cu6 0.8412 0.8412 0.0000  2 Cu 2.49, 6 Cd 2.71-2.77
Cu7 0.6588 0.6588 0.5000  2 Cu 2.49, 6 Cd 2.71-2.77
Cd4 0.5000 0.7871 0.0000  6 Cu 2.71-2.77
Cu8 0.6588 0.3412 0.5000  2 Cu 2.49, 6 Cd 2.71-2.77
Cd5 0.2871 0.0000 0.5000  6 Cu 2.71-2.77
Cd6 0.5000 0.2129 0.0000  6 Cu 2.71-2.77
Cd7 0.0000 0.2871 0.5000  6 Cu 2.71-2.77
Cd8 0.0000 0.7129 0.5000  6 Cu 2.71-2.77

Entry 4:
Density functional theory data (PBE) for AlAg2Pb after structural relaxation.

ΔE to the lowest computed polymorph ... 0.118 eV per atom
Formation energy from the elements ... 160 meV per atom
Uncorrected energy ... -3.13 eV per atom
Size of the total moment ... 0.00 μB per formula unit

Cell lengths 9.5275, 9.5275, 9.5275 Å; angles 19.66, 19.66, 19.66 degrees
With the nearest neighbours (Å) after each atom.
Fractional positions:
Al1 0.5124 0.5124 0.5124  3 Ag 2.68
Pb1 0.7489 0.7489 0.7489  3 Ag 3.16, 6 Pb 3.25, 3 Al 3.30
Ag1 0.2471 0.2471 0.2471  3 Al 2.68, 3 Ag 2.88
Ag2 0.9917 0.9917 0.9917  3 Ag 2.88, 3 Pb 3.16

Entry 5:
Density functional theory data (PBE) for TmPa2OsC4 after structural relaxation.

Formation energy from the elements ... -119 meV per atom
Uncorrected energy ... -9.07 eV per atom
Size of the total moment ... 0.00 μB per formula unit

Cell lengths 3.5233, 6.1098, 12.0086 Å; angles 90.00, 90.00, 106.76 degrees
With the nearest neighbours (Å) after each atom.
Fractional positions:
Pa1 0.3662 0.7325 0.5421  6 C 2.39-2.64
C1 0.0000 0.0000 0.0000  4 Pa 2.41
Tm1 0.8796 0.7592 0.2500  6 C 2.64-2.75
Pa2 0.6338 0.2675 0.4579  6 C 2.39-2.64
C2 0.4403 0.8805 0.7500  2 Os 2.02
C3 0.2653 0.5305 0.3695  1 Os 2.02
C4 0.0000 0.0000 0.5000  4 Pa 2.41
Tm2 0.1204 0.2408 0.7500  6 C 2.64-2.75
C5 0.2653 0.5305 0.1305  1 Os 2.02
C6 0.5597 0.1195 0.2500  2 Os 2.02
C7 0.7347 0.4695 0.8695  1 Os 2.02
Pa3 0.3662 0.7325 0.9579  6 C 2.39-2.64
C8 0.7347 0.4695 0.6305  1 Os 2.02
Os1 0.8560 0.7120 0.7500  4 C 2.02
Pa4 0.6338 0.2675 0.0421  6 C 2.39-2.64
Os2 0.1440 0.2880 0.2500  4 C 2.02

Entry 6:
Density functional theory data (PBE) for La12SmZn6 after structural relaxation.

Formation energy from the elements ... -92 meV per atom
Uncorrected energy ... -3.86 eV per atom
Size of the total moment ... 0.00 μB per formula unit

Cell lengths 8.2371, 8.2371, 8.2371 Å; angles 87.38, 87.38, 87.38 degrees
With the nearest neighbours (Å) after each atom.
Fractional positions:
Zn1 0.7423 0.2561 0.1092  1 Sm 3.06, 3 La 3.15-3.21, 2 Zn 3.20
La1 0.0271 0.1640 0.3940  3 Zn 3.16-3.51, 2 La 3.19-3.21
La2 0.4289 0.8146 0.5469  3 Zn 3.15-3.50, 2 La 3.21-3.37
La3 0.6060 0.9729 0.8360  3 Zn 3.16-3.51, 2 La 3.19-3.21
La4 0.1640 0.3940 0.0271  3 Zn 3.16-3.51, 2 La 3.19-3.21
Zn2 0.1092 0.7423 0.2561  1 Sm 3.06, 3 La 3.15-3.21, 2 Zn 3.20
La5 0.4531 0.5711 0.1854  3 Zn 3.15-3.50, 2 La 3.21-3.37
Sm1 0.0000 0.0000 0.0000  6 Zn 3.06
Zn3 0.7439 0.8908 0.2577  1 Sm 3.06, 3 La 3.15-3.21, 2 Zn 3.20
Zn4 0.8908 0.2577 0.7439  1 Sm 3.06, 3 La 3.15-3.21, 2 Zn 3.20
La6 0.3940 0.0271 0.1640  3 Zn 3.16-3.51, 2 La 3.19-3.21
Zn5 0.2577 0.7439 0.8908  1 Sm 3.06, 3 La 3.15-3.21, 2 Zn 3.20
La7 0.9729 0.8360 0.6060  3 Zn 3.16-3.51, 2 La 3.19-3.21
La8 0.5469 0.4289 0.8146  3 Zn 3.15-3.50, 2 La 3.21-3.37
La9 0.1854 0.4531 0.5711  3 Zn 3.15-3.50, 2 La 3.21-3.37
La10 0.8146 0.5469 0.4289  3 Zn 3.15-3.50, 2 La 3.21-3.37
Zn6 0.2561 0.1092 0.7423  1 Sm 3.06, 3 La 3.15-3.21, 2 Zn 3.20
La11 0.5711 0.1854 0.4531  3 Zn 3.15-3.50, 2 La 3.21-3.37
La12 0.8360 0.6060 0.9729  3 Zn 3.16-3.51, 2 La 3.19-3.21

Entry 7:
Density functional theory data (PBE) for CeDyFe after structural relaxation.

ΔE to the lowest computed polymorph ... 0.055 eV per atom
Formation energy from the elements ... -27 meV per atom
Uncorrected energy ... -6.36 eV per atom
Size of the total moment ... 0.00 μB per formula unit

Cell lengths 5.2097, 5.2094, 6.9459 Å; angles 68.00, 68.00, 59.98 degrees
With the nearest neighbours (Å) after each atom.
Fractional positions:
Dy1 0.8815 0.8815 0.3556  1 Fe 2.69
Dy2 0.1185 0.1185 0.6444  1 Fe 2.69
Fe1 0.7380 0.7380 0.7859  1 Ce 2.10
Fe2 0.2620 0.2620 0.2141  1 Ce 2.10
Ce1 0.3735 0.3735 0.8794  1 Fe 2.10
Ce2 0.6265 0.6265 0.1206  1 Fe 2.10

Entry 8:
Density functional theory data (PBE) for SnPb5Au4 after structural relaxation.

Formation energy from the elements ... -45 meV per atom
Uncorrected energy ... -3.61 eV per atom
Size of the total moment ... 0.00 μB per formula unit

Cell lengths 4.3153, 7.6818, 8.7109 Å; angles 76.90, 104.34, 90.00 degrees
With the nearest neighbours (Å) after each atom.
Fractional positions:
Sn1 0.5000 0.0000 0.0000  6 Au 2.88-2.91
Au1 0.0342 0.7452 0.0683  2 Sn 2.88, 4 Pb 2.98-3.03
Pb1 0.1791 0.9037 0.3581  4 Au 2.96-3.04
Au2 0.3640 0.8271 0.7281  1 Sn 2.91, 6 Pb 2.96-3.07
Au3 0.6360 0.1729 0.2719  1 Sn 2.91, 6 Pb 2.96-3.07
Pb2 0.8209 0.0963 0.6419  4 Au 2.96-3.04
Pb3 0.8228 0.5782 0.6455  3 Au 3.03-3.07
Au4 0.9658 0.2548 0.9317  2 Sn 2.88, 4 Pb 2.98-3.03
Pb4 0.5000 0.5000 0.0000  6 Au 2.98-3.01
Pb5 0.1772 0.4218 0.3545  3 Au 3.03-3.07

Entry 9:
Density functional theory data (PBE) for Zr3Bi after structural relaxation.

Formation energy from the elements ... -195 meV per atom
Uncorrected energy ... -7.58 eV per atom
Size of the total moment ... 0.00 μB per formula unit

Cell lengths 4.7464, 4.1126, 4.7291 Å; angles 90.00, 90.00, 90.00 degrees
With the nearest neighbours (Å) after each atom.
Fractional positions:
Zr1 0.0000 0.5000 0.5833  4 Bi 3.13, 8 Zr 3.14-3.35
Zr2 0.5000 0.5000 0.0835  8 Zr 3.13-3.35, 4 Bi 3.14
Zr3 0.5000 0.0000 0.5834  8 Zr 3.13-3.14, 4 Bi 3.35
Bi1 0.0000 0.0000 0.0832  12 Zr 3.13-3.35

Entry 10:
Density functional theory data (PBE) for CeH8PdRh4 after structural relaxation.

Uncorrected energy ... -5.01 eV per atom
Size of the total moment ... 0.58 μB per formula unit

Cell lengths 5.6780, 5.6780, 5.6956 Å; angles 60.10, 60.10, 60.00 degrees
With the nearest neighbours (Å) after each atom.
Fractional positions:
Ce1 0.3807 0.3807 0.8579  4 H 2.23
H1 0.7137 0.7137 0.3117  3 Rh 1.79-1.90
Pd1 0.9977 0.9977 0.0069  3 H 1.87
Rh1 0.6347 0.6347 0.0958  4 H 1.79-1.80
H2 0.2208 0.2208 0.3377  3 Rh 1.80
Rh2 0.5077 0.0014 0.4895  6 H 1.77-1.91
Rh3 0.0014 0.5077 0.4895  6 H 1.77-1.91
H3 0.2215 0.8605 0.6965  2 Rh 1.77, 1 Pd 1.87
Rh4 0.0014 0.0014 0.4895  6 H 1.77-1.91
H4 0.2215 0.2215 0.6965  2 Rh 1.77, 1 Pd 1.87
H5 0.2609 0.7137 0.3117  3 Rh 1.79-1.90
H6 0.8605 0.2215 0.6965  2 Rh 1.77, 1 Pd 1.87
H7 0.7137 0.2609 0.3117  3 Rh 1.79-1.90
H8 0.7638 0.7638 0.7086  4 Rh 1.80-1.91

> Among the records above, which one has the highest size of the total moment?

CeH8PdRh4

> The highest size of the total moment belongs to which entry?

CeH8PdRh4